Entry from Alexandria: InPb after structural relaxation (GGA-PBEsol).

Cell and atoms, written as POSCAR:
```
InPb
1.0
5.624 0.000 0.000
0.000 3.439 0.000
0.000 0.000 5.699
In Pb
2 2
direct
0.250 0.000 0.181 In
0.750 0.000 0.819 In
0.250 0.500 0.684 Pb
0.750 0.500 0.316 Pb
```

Space-group type = Pmma
E_tot = -13.9 eV per cell
ΔH_f (0 K) = 0.03 eV/atom
V = 110 Å³ per cell
ρ = 9.70 Mg/m³